No. 1
First-principles (PBE-GGA) data for Zr2VIrC after structural relaxation, as listed in Alexandria.

Properties
- calculated formation energy (eV per atom) = 0.831
- crystal system = tetragonal
- electronic total energy (eV per cell) = -40.1
- mass density (Mg/m³) = 6.9

Unit cell a=5.254 b=5.254 c=3.790 alpha=90.00 beta=90.00 gamma=90.00
Space group P4/mmm (No. 123)
One atom of each set of equivalent atoms:
Zr: 0.000 0.500 0.000 (multiplicity 2)
V: 0.000 0.000 0.500 (multiplicity 1)
Ir: 0.500 0.500 0.000 (multiplicity 1)
C: 0.500 0.500 0.500 (multiplicity 1)

No. 2
First-principles (PBE-GGA) data for IrW2C after structural relaxation, as listed in Alexandria.

Properties
- E above lowest polymorph (meV per atom) = 0
- calculated formation energy (eV per atom) = -0.018
- crystal system = trigonal
- electronic total energy (eV per cell) = -132.2
- mass density (Mg/m³) = 18.2

Unit cell a=2.8980 b=2.8980 c=21.4984 alpha=90.00 beta=90.00 gamma=120.00
Space group R3m (No. 160, hexagonal axes)
One atom of each set of equivalent atoms:
Ir: 0.0000 0.0000 0.0000 (multiplicity 3)
W: 0.0000 0.0000 0.2316 (multiplicity 3)
W: 0.0000 0.0000 0.4397 (multiplicity 3)
C: 0.0000 0.0000 0.8364 (multiplicity 3)

No. 3
First-principles (PBE-GGA) data for IrWC2 after structural relaxation, as listed in Alexandria.

Properties
- E above lowest polymorph (meV per atom) = 0
- calculated formation energy (eV per atom) = 0.609
- crystal system = tetragonal
- electronic total energy (eV per cell) = -151.3
- mass density (Mg/m³) = 12.9

Unit cell a=4.689 b=4.689 c=9.348 alpha=90.00 beta=90.00 gamma=90.00
Space group I-42d (No. 122)
One atom of each set of equivalent atoms:
Ir: 0.000 0.000 0.000 (multiplicity 4)
W: 0.000 0.000 0.500 (multiplicity 4)
C: 0.249 0.250 0.125 (multiplicity 8)

No. 4
First-principles (PBE-GGA) data for IrWC2 after structural relaxation, as listed in Alexandria.

Properties
- E above lowest polymorph (meV per atom) = 649
- calculated formation energy (eV per atom) = 1.258
- crystal system = cubic
- electronic total energy (eV per cell) = -140.9
- mass density (Mg/m³) = 16.3

Unit cell a=5.460 b=5.460 c=5.460 alpha=90.00 beta=90.00 gamma=90.00
Space group Fm-3m (No. 225)
One atom of each set of equivalent atoms:
Ir: 0.000 0.000 0.000 (multiplicity 4)
W: 0.000 0.000 0.500 (multiplicity 4)
C: 0.250 0.250 0.250 (multiplicity 8)

No. 5
First-principles (PBE-GGA) data for IrW3C after structural relaxation, as listed in Alexandria.

Properties
- E above lowest polymorph (meV per atom) = 0
- calculated formation energy (eV per atom) = 0.077
- crystal system = cubic
- electronic total energy (eV per cell) = -56.6
- mass density (Mg/m³) = 17.8

Unit cell a=4.128 b=4.128 c=4.128 alpha=90.00 beta=90.00 gamma=90.00
Space group Pm-3m (No. 221)
One atom of each set of equivalent atoms:
Ir: 0.000 0.000 0.000 (multiplicity 1)
W: 0.000 0.500 0.500 (multiplicity 3)
C: 0.500 0.500 0.500 (multiplicity 1)

No. 6
First-principles (PBE-GGA) data for IrW2C after structural relaxation, as listed in Alexandria.

Properties
- E above lowest polymorph (meV per atom) = 718
- calculated formation energy (eV per atom) = 0.700
- crystal system = tetragonal
- electronic total energy (eV per cell) = -164.8
- mass density (Mg/m³) = 14.0

Unit cell a=4.987 b=4.987 c=10.929 alpha=90.00 beta=90.00 gamma=90.00
Space group I-42d (No. 122)
One atom of each set of equivalent atoms:
Ir: 0.000 0.000 0.000 (multiplicity 4)
W: 0.169 0.250 0.625 (multiplicity 8)
C: 0.000 0.000 0.500 (multiplicity 4)

No. 7
First-principles (PBE-GGA) data for IrW2C after structural relaxation, as listed in Alexandria.

Properties
- E above lowest polymorph (meV per atom) = 605
- calculated formation energy (eV per atom) = 0.587
- crystal system = trigonal
- electronic total energy (eV per cell) = -124.9
- mass density (Mg/m³) = 17.0

Unit cell a=2.8820 b=2.8820 c=23.3351 alpha=90.00 beta=90.00 gamma=120.00
Space group R-3m (No. 166, hexagonal axes)
One atom of each set of equivalent atoms:
Ir: 0.0000 0.0000 0.0000 (multiplicity 3)
W: 0.0000 0.0000 0.1088 (multiplicity 6)
C: 0.0000 0.0000 0.5000 (multiplicity 3)

No. 8
First-principles (PBE-GGA) data for IrW3C after structural relaxation, as listed in Alexandria.

Properties
- E above lowest polymorph (meV per atom) = 3134
- calculated formation energy (eV per atom) = 3.210
- crystal system = cubic
- electronic total energy (eV per cell) = -40.9
- mass density (Mg/m³) = 11.8

Unit cell a=4.742 b=4.742 c=4.742 alpha=90.00 beta=90.00 gamma=90.00
Space group Pm-3m (No. 221)
One atom of each set of equivalent atoms:
Ir: 0.000 0.000 0.000 (multiplicity 1)
W: 0.000 0.000 0.500 (multiplicity 3)
C: 0.500 0.500 0.500 (multiplicity 1)

No. 9
First-principles (PBE-GGA) data for ZnIr2WC after structural relaxation, as listed in Alexandria.

Properties
- calculated formation energy (eV per atom) = 1.687
- crystal system = tetragonal
- electronic total energy (eV per cell) = -32.7
- mass density (Mg/m³) = 11.5

Unit cell a=4.825 b=4.825 c=4.012 alpha=90.00 beta=90.00 gamma=90.00
Space group P4/mmm (No. 123)
One atom of each set of equivalent atoms:
Zn: 0.000 0.000 0.000 (multiplicity 1)
Ir: 0.000 0.500 0.500 (multiplicity 2)
W: 0.500 0.500 0.500 (multiplicity 1)
C: 0.500 0.500 0.000 (multiplicity 1)

No. 10
First-principles (PBE-GGA) data for ZnIrW2C after structural relaxation, as listed in Alexandria.

Properties
- calculated formation energy (eV per atom) = 0.342
- crystal system = tetragonal
- electronic total energy (eV per cell) = -43.6
- mass density (Mg/m³) = 15.1

Unit cell a=4.123 b=4.123 c=4.133 alpha=90.00 beta=90.00 gamma=90.00
Space group P4/mmm (No. 123)
One atom of each set of equivalent atoms:
Zn: 0.000 0.000 0.000 (multiplicity 1)
Ir: 0.500 0.500 0.000 (multiplicity 1)
W: 0.000 0.500 0.500 (multiplicity 2)
C: 0.500 0.500 0.500 (multiplicity 1)

No. 11
First-principles (PBE-GGA) data for Y2Ir2C after structural relaxation, as listed in Alexandria.

Properties
- E above lowest polymorph (meV per atom) = 0
- calculated formation energy (eV per atom) = -0.046
- crystal system = tetragonal
- electronic total energy (eV per cell) = -80.2
- mass density (Mg/m³) = 9.2

Unit cell a=5.583 b=5.583 c=6.649 alpha=90.00 beta=90.00 gamma=90.00
Space group I4/mmm (No. 139)
One atom of each set of equivalent atoms:
Y: 0.000 0.500 0.250 (multiplicity 4)
Ir: 0.000 0.000 0.212 (multiplicity 4)
C: 0.000 0.000 0.500 (multiplicity 2)

No. 12
First-principles (PBE-GGA) data for Y2Ir2C after structural relaxation, as listed in Alexandria.

Properties
- E above lowest polymorph (meV per atom) = 201
- calculated formation energy (eV per atom) = 0.155
- crystal system = tetragonal
- electronic total energy (eV per cell) = -78.2
- mass density (Mg/m³) = 11.2

Unit cell a=5.813 b=5.813 c=5.038 alpha=90.00 beta=90.00 gamma=90.00
Space group P4/mbm (No. 127)
One atom of each set of equivalent atoms:
Y: 0.171 0.329 0.000 (multiplicity 4)
Ir: 0.165 0.665 0.500 (multiplicity 4)
C: 0.000 0.000 0.500 (multiplicity 2)

> calculated formation energy of number 2 (IrW2C)?

-0.018 eV per atom

> The highest mass density belongs to which entry?

number 2

> Which formula does entry 5 have?

IrW3C

> Which value of electronic total energy does entry 12 give?

-78.2 eV per cell